No. 1
Entry from Alexandria via LeMat-Bulk: an optimized crystal structure of In2Se (PBE).

Unit cell a=4.2506 b=4.2506 c=5.5220 alpha=90.00 beta=90.00 gamma=120.00
Fractional coordinates of all 3 atoms:
In1 0.3333 0.6667 0.1941
In2 0.6667 0.3333 0.8059
Se1 0.0000 0.0000 0.5000

The total DFT energy (no corrections) is -3.2907 eV per atom. The value obtained for the formation energy without anion corrections is -7.0 kcal/mol of atoms. The value obtained for the density is 5.93 g/cm³. For the energy above the most stable polymorph in this dataset, the calculation gives 0.00 eV per formula unit. Its total magnetization is 0.00 μB per formula unit.

=====

No. 2
Entry from Alexandria via LeMat-Bulk: an optimized crystal structure of Nb5ZnPt4 (PBE).

Unit cell a=2.8339 b=2.8339 c=20.4856 alpha=90.00 beta=90.00 gamma=90.00
Fractional coordinates of all 10 atoms:
Nb1 0.0000 0.0000 0.0000
Nb2 0.0000 0.0000 0.2013
Nb3 0.0000 0.0000 0.4028
Nb4 0.0000 0.0000 0.5972
Nb5 0.0000 0.0000 0.7987
Zn1 0.5000 0.5000 0.5000
Pt1 0.5000 0.5000 0.1008
Pt2 0.5000 0.5000 0.3011
Pt3 0.5000 0.5000 0.6989
Pt4 0.5000 0.5000 0.8992

The total DFT energy (no corrections) is -8.1202 eV per atom. The value obtained for the density is 13.22 g/cm³. The calculation puts the formation energy at -0.542 eV/atom. Its total magnetization is 0.00 μB per formula unit.